Material: Ge2N2O
Method: DFT, PBEsol
State: optimized geometry

## Properties
Space-group type: Cc
Total energy: -7.0229 eV/atom
N(E_F): 0.0 states/eV/cell
Formation energy without anion corrections: -0.587 eV/atom

The structure in POSCAR format:
```
Ge2N2O
1.0
2.679 -4.864 0.000
2.679 4.864 0.000
-1.704 0.000 5.037
Ge N O
4 4 2
Cartesian
1.827 4.052 2.518
0.930 2.502 5.013
1.782 -2.502 2.495
2.679 -4.052 0.000
2.052 4.103 0.703
0.793 2.678 3.175
1.645 -2.678 0.657
1.200 -4.103 3.221
1.630 1.202 0.626
0.778 -1.202 3.145
```

***

Material: SrAlCd2
Method: DFT, PBEsol
State: optimized geometry

## Properties
Space-group type: R3m
Total energy: -2.2364 eV/atom
N(E_F): 6.9 states/eV/cell
Energy relative to the elements: -0.1549 eV/atom

The structure in POSCAR format:
```
SrAlCd2
1.0
4.662 0.000 0.000
-2.331 4.038 0.000
0.000 0.000 16.999
Sr Al Cd
3 3 6
Cartesian
0.000 0.000 0.000
0.000 2.692 11.333
2.331 1.346 5.666
0.000 0.000 3.471
0.000 2.692 14.804
2.331 1.346 9.137
0.000 0.000 9.008
0.000 0.000 13.428
0.000 2.692 3.342
0.000 2.692 7.761
2.331 1.346 2.095
2.331 1.346 14.675
```

***

Material: Al2AgPb
Method: DFT, PBEsol
State: optimized geometry

## Properties
Space-group type: P4/mmm
Total energy: -3.7398 eV/atom
N(E_F): 1.5 states/eV/cell
Energy relative to the elements: 0.1334 eV/atom

The structure in POSCAR format:
```
Al2AgPb
1.0
3.161 0.000 0.000
0.000 3.161 0.000
0.000 0.000 8.019
Al Ag Pb
2 1 1
Cartesian
0.000 0.000 1.629
0.000 0.000 6.389
1.580 1.580 0.000
1.580 1.580 4.009
```

***

Material: TePW2
Method: DFT, PBEsol
State: optimized geometry

## Properties
Space-group type: R-3m
Total energy: -8.8452 eV/atom
N(E_F): 9.2 states/eV/cell
Formation energy without anion corrections: 0.388 eV/atom

The structure in POSCAR format:
```
TePW2
1.0
3.146 0.000 0.000
-1.573 2.724 0.000
0.000 0.000 23.071
Te P W
3 3 6
Cartesian
0.000 0.000 0.000
0.000 1.816 15.380
1.573 0.908 7.690
0.000 0.000 11.535
0.000 1.816 3.845
1.573 0.908 19.226
0.000 0.000 5.524
0.000 0.000 17.547
0.000 1.816 9.856
0.000 1.816 20.905
1.573 0.908 2.166
1.573 0.908 13.214
```

***

Material: SrCaPb
Method: DFT, PBEsol
State: optimized geometry

## Properties
Space-group type: P3m1
Total energy: -3.0525 eV/atom
N(E_F): 1.3 states/eV/cell
Energy relative to the elements: -0.3951 eV/atom

The structure in POSCAR format:
```
SrCaPb
1.0
5.431 0.000 0.000
-2.715 4.703 0.000
0.000 0.000 4.081
Sr Ca Pb
1 1 1
Cartesian
0.000 0.000 0.000
0.000 3.135 2.134
2.715 1.568 1.736
```

***

Material: CsH7O4
Method: DFT, PBEsol
State: optimized geometry

## Properties
Space-group type: P2_1/c
Total energy: -4.9424 eV/atom
N(E_F): 0.0 states/eV/cell

The structure in POSCAR format:
```
CsH7O4
1.0
8.538 0.000 0.000
0.000 5.904 0.000
-7.227 0.000 9.635
Cs H O
4 28 16
Cartesian
-0.302 0.882 2.215
-3.916 2.069 7.033
5.227 3.834 2.602
1.613 5.021 7.419
-2.498 0.665 4.643
-6.112 2.287 9.460
0.243 3.718 1.033
-3.371 5.137 5.851
2.234 3.809 0.533
-1.380 5.047 5.350
-0.698 3.054 5.060
2.915 5.801 0.243
0.142 3.940 4.010
-3.471 4.915 8.828
-0.947 1.027 6.064
2.667 1.925 1.247
1.747 3.661 2.497
-1.866 5.195 7.314
3.178 0.709 2.321
-0.436 2.243 7.138
-1.356 3.979 8.388
2.258 4.877 3.571
4.782 0.989 0.807
1.169 1.963 5.624
-1.604 0.102 9.392
2.009 2.849 4.574
2.691 0.857 4.284
-0.923 2.095 9.102
4.682 0.766 3.784
1.068 2.186 8.601
7.423 3.617 0.175
3.809 5.239 4.992
-0.702 4.080 0.976
-4.316 4.775 5.794
-0.790 3.806 4.385
-4.404 5.050 9.202
1.774 3.103 1.085
-1.840 5.753 5.902
3.250 1.059 1.342
-0.363 1.893 6.159
1.675 4.011 3.475
-1.939 4.845 8.293
3.151 0.151 3.732
-0.463 2.801 8.550
5.715 0.854 0.433
2.101 2.098 5.250
5.627 1.128 3.841
2.013 1.823 8.658
```

***

Material: CaSb2Se
Method: DFT, PBEsol
State: optimized geometry

## Properties
Space-group type: P2/m
Total energy: -4.2720 eV/atom
N(E_F): 1.9 states/eV/cell
Formation energy without anion corrections: -0.497 eV/atom

The structure in POSCAR format:
```
CaSb2Se
1.0
4.534 0.000 0.000
0.000 4.161 0.000
-1.585 0.000 5.712
Ca Sb Se
1 2 1
Cartesian
0.000 0.000 0.000
0.757 2.081 4.277
2.191 2.081 1.435
-0.793 0.000 2.856
```

***

Material: Sr2Si3
Method: DFT, PBEsol
State: optimized geometry

## Properties
Space-group type: Imm2
Total energy: -4.5298 eV/atom
N(E_F): 3.3 states/eV/cell
Formation energy without anion corrections: -0.346 eV/atom

The structure in POSCAR format:
```
Sr2Si3
1.0
3.840 0.000 0.000
0.000 4.652 0.000
0.000 0.000 14.881
Sr Si
4 6
Cartesian
0.000 0.000 0.000
0.000 2.326 3.652
1.920 0.000 11.093
1.920 2.326 7.440
0.000 0.000 6.197
0.000 2.326 9.955
0.000 2.326 12.267
1.920 0.000 2.515
1.920 0.000 4.827
1.920 2.326 13.637
```

***

Material: PWN3
Method: DFT, PBEsol
State: optimized geometry

## Properties
Space-group type: Pm-3m
Total energy: -8.1176 eV/atom
N(E_F): 3.0 states/eV/cell
Formation energy without anion corrections: 0.918 eV/atom

The structure in POSCAR format:
```
PWN3
1.0
3.925 0.000 0.000
0.000 3.925 0.000
0.000 0.000 3.925
P W N
1 1 3
Cartesian
0.000 0.000 0.000
1.963 1.963 1.963
0.000 1.963 1.963
1.963 0.000 1.963
1.963 1.963 0.000
```

***

Material: Li2CaYCr
Method: DFT, PBEsol
State: optimized geometry

## Properties
Space-group type: P4/mmm
Total energy: -3.2828 eV/atom
N(E_F): 4.2 states/eV/cell
Energy relative to the elements: 1.3434 eV/atom

The structure in POSCAR format:
```
Li2CaYCr
1.0
4.887 0.000 0.000
0.000 4.887 0.000
0.000 0.000 5.728
Li Ca Y Cr
2 1 1 1
Cartesian
0.000 2.444 0.000
2.444 0.000 0.000
0.000 0.000 0.000
0.000 0.000 2.864
2.444 2.444 2.864
```

***

Material: AgIrSe
Method: DFT, PBEsol
State: optimized geometry

## Properties
Space-group type: F-43m
Total energy: -5.1747 eV/atom
N(E_F): 13.2 states/eV/cell
Formation energy without anion corrections: 0.487 eV/atom

The structure in POSCAR format:
```
AgIrSe
1.0
6.063 0.000 0.000
0.000 6.063 0.000
0.000 0.000 6.063
Ag Ir Se
4 4 4
Cartesian
0.000 0.000 0.000
0.000 3.031 3.031
3.031 0.000 3.031
3.031 3.031 0.000
1.516 1.516 4.547
1.516 4.547 1.516
4.547 1.516 1.516
4.547 4.547 4.547
0.000 0.000 3.031
0.000 3.031 0.000
3.031 0.000 0.000
3.031 3.031 3.031
```

***

Material: Ce3Ge13Ir4
Method: DFT, PBEsol
State: optimized geometry

## Properties
Space-group type: Pm-3n
Total energy: -6.7278 eV/atom
N(E_F): 17.9 states/eV/cell
Energy relative to the elements: -0.5635 eV/atom

The structure in POSCAR format:
```
Ce3Ge13Ir4
1.0
8.961 0.000 0.000
0.000 8.961 0.000
0.000 0.000 8.961
Ce Ge Ir
6 26 8
Cartesian
0.000 2.240 4.481
0.000 6.721 4.481
2.240 4.481 0.000
4.481 0.000 2.240
4.481 0.000 6.721
6.721 4.481 0.000
0.000 0.000 0.000
0.000 2.771 1.294
0.000 2.771 7.667
0.000 6.190 1.294
0.000 6.190 7.667
1.294 0.000 2.771
1.294 0.000 6.190
1.710 4.481 3.187
1.710 4.481 5.774
2.771 1.294 0.000
2.771 7.667 0.000
3.187 1.710 4.481
3.187 7.251 4.481
4.481 3.187 1.710
4.481 3.187 7.251
4.481 4.481 4.481
4.481 5.774 1.710
4.481 5.774 7.251
5.774 1.710 4.481
5.774 7.251 4.481
6.190 1.294 0.000
6.190 7.667 0.000
7.251 4.481 3.187
7.251 4.481 5.774
7.667 0.000 2.771
7.667 0.000 6.190
2.240 2.240 2.240
2.240 2.240 6.721
2.240 6.721 2.240
2.240 6.721 6.721
6.721 2.240 2.240
6.721 2.240 6.721
6.721 6.721 2.240
6.721 6.721 6.721
```

***

Material: Zr2CdHgRu
Method: DFT, PBEsol
State: optimized geometry

## Properties
Space-group type: P4/mmm
Total energy: -5.7048 eV/atom
N(E_F): 4.1 states/eV/cell
Energy relative to the elements: 0.3183 eV/atom

The structure in POSCAR format:
```
Zr2CdHgRu
1.0
4.842 0.000 0.000
0.000 4.842 0.000
0.000 0.000 5.162
Zr Cd Hg Ru
2 1 1 1
Cartesian
0.000 2.421 0.000
2.421 0.000 0.000
0.000 0.000 2.581
2.421 2.421 2.581
2.421 2.421 0.000
```

***

Material: Mg2NiGePb
Method: DFT, PBEsol
State: optimized geometry

## Properties
Space-group type: P4/mmm
Total energy: -2.5090 eV/atom
N(E_F): 8.8 states/eV/cell
Energy relative to the elements: 1.1969 eV/atom

The structure in POSCAR format:
```
Mg2NiGePb
1.0
5.213 0.000 0.000
0.000 5.213 0.000
0.000 0.000 5.410
Mg Ni Ge Pb
2 1 1 1
Cartesian
0.000 2.607 0.000
2.607 0.000 0.000
0.000 0.000 2.705
2.607 2.607 2.705
2.607 2.607 0.000
```

***

Material: Mg3Zr
Method: DFT, PBEsol
State: optimized geometry

## Properties
Space-group type: Imm2
Total energy: -3.4867 eV/atom
N(E_F): 6.2 states/eV/cell
Energy relative to the elements: 0.0736 eV/atom

The structure in POSCAR format:
```
Mg3Zr
1.0
2.897 0.000 0.000
0.000 10.468 0.000
0.000 0.000 5.786
Mg Zr
6 2
Cartesian
0.000 0.000 0.000
0.000 2.599 1.704
0.000 7.868 1.704
1.448 2.635 4.597
1.448 5.234 2.893
1.448 7.833 4.597
0.000 5.234 0.000
1.448 0.000 2.893
```

***

Material: AlV2O4
Method: DFT, PBEsol
State: optimized geometry

## Properties
Space-group type: C2/c
Total energy: -8.7607 eV/atom
N(E_F): 10.3 states/eV/cell
Formation energy without anion corrections: -2.424 eV/atom

The structure in POSCAR format:
```
AlV2O4
1.0
5.032 -2.860 0.000
5.032 2.860 0.000
-3.249 0.000 9.526
Al V O
4 8 16
Cartesian
0.898 1.457 6.558
4.292 1.457 7.731
2.522 -1.457 1.795
5.917 -1.457 2.968
0.000 0.000 0.000
-1.624 0.000 4.763
2.516 1.430 0.000
4.219 1.368 2.381
0.891 -1.430 4.763
5.032 0.000 0.000
3.407 0.000 4.763
2.595 -1.368 7.144
-1.602 0.032 8.339
0.925 1.447 8.323
2.549 1.433 3.563
0.022 -0.032 3.576
1.727 0.018 5.955
4.265 1.447 5.965
5.890 1.433 1.200
3.351 -0.018 1.192
3.463 0.018 8.333
0.925 -1.433 8.326
2.550 -1.447 3.560
5.087 -0.018 3.571
6.792 0.032 5.950
4.265 -1.433 5.963
5.889 -1.447 1.203
8.416 -0.032 1.187
```

***

Material: TcIOF2
Method: DFT, PBEsol
State: optimized geometry

## Properties
Space-group type: P4/mmm
Total energy: -5.2481 eV/atom
N(E_F): 5.6 states/eV/cell
Formation energy without anion corrections: -0.821 eV/atom

The structure in POSCAR format:
```
TcIOF2
1.0
4.379 0.000 0.000
0.000 4.379 0.000
0.000 0.000 3.687
Tc I O F
1 1 1 2
Cartesian
0.000 0.000 0.000
2.189 2.189 1.844
0.000 0.000 1.844
0.000 2.189 0.000
2.189 0.000 0.000
```

***

Material: CaCoAu2
Method: DFT, PBEsol
State: optimized geometry

## Properties
Space-group type: P4mm
Total energy: -4.4508 eV/atom
N(E_F): 5.2 states/eV/cell
Energy relative to the elements: -0.0212 eV/atom

The structure in POSCAR format:
```
CaCoAu2
1.0
3.438 0.000 0.000
0.000 3.438 0.000
0.000 0.000 6.145
Ca Co Au
1 1 2
Cartesian
0.000 0.000 0.000
1.719 1.719 1.893
0.000 0.000 2.877
1.719 1.719 4.489
```

***

Material: ScMnZn2Ge
Method: DFT, PBEsol
State: optimized geometry

## Properties
Space-group type: P4/mmm
Total energy: -4.2762 eV/atom
N(E_F): 3.5 states/eV/cell
Energy relative to the elements: 0.6176 eV/atom

The structure in POSCAR format:
```
ScMnZn2Ge
1.0
4.590 0.000 0.000
0.000 4.590 0.000
0.000 0.000 5.015
Sc Mn Zn Ge
1 1 2 1
Cartesian
0.000 0.000 0.000
2.295 2.295 0.000
0.000 2.295 2.508
2.295 0.000 2.508
0.000 0.000 2.508
```

***

Material: SrIn2Br
Method: DFT, PBEsol
State: optimized geometry

## Properties
Space-group type: P4mm
Total energy: -3.1213 eV/atom
N(E_F): 1.6 states/eV/cell
Formation energy without anion corrections: -0.702 eV/atom

The structure in POSCAR format:
```
SrIn2Br
1.0
3.847 0.000 0.000
0.000 3.847 0.000
0.000 0.000 8.163
Sr In Br
1 2 1
Cartesian
0.000 0.000 0.000
0.000 0.000 4.344
1.924 1.924 5.789
1.924 1.924 1.466
```